1.
Here is a geometry-optimized BaCa2Te3 structure from Alexandria. Energies are from PBE.

The value obtained for the magnetic moment is 0.0 μB per cell. The value obtained for the final energy is -4.2318 eV per atom. For the density of states at the Fermi level, the calculation gives 0.0 states/eV/cell.

The structure belongs to space group P-3m1 (No. 164); the cell edges are 4.6827, 4.6827 and 11.4990 Å and the angles 90.00°, 90.00° and 120.00°. The inequivalent atoms are Ba at (0.0000, 0.0000, 0.0000), Ca at (0.3333, 0.6667, 0.6560), Te at (0.0000, 0.0000, 0.5000) and Te at (0.3333, 0.6667, 0.1901).

=====

2.
Here is a geometry-optimized BaCa2Te structure from Alexandria. Energies are from PBE.

The value obtained for the magnetic moment is 0.0 μB per cell. The value obtained for the final energy is -2.8018 eV per atom. For the density of states at the Fermi level, the calculation gives 1.7 states/eV/cell.

The structure belongs to space group I-4m2 (No. 119); the cell edges are 5.0800, 5.0800 and 11.9077 Å and the angles 90.00°, 90.00° and 90.00°. The inequivalent atoms are Ba at (0.0000, 0.0000, 0.0000), Ca at (0.0000, 0.0000, 0.5000), Ca at (0.0000, 0.5000, 0.7500) and Te at (0.0000, 0.5000, 0.2500).

=====

3.
Here is a geometry-optimized Ba2Ca2Te structure from Alexandria. Energies are from PBE.

The value obtained for the magnetic moment is 0.0 μB per cell. The value obtained for the final energy is -2.6101 eV per atom. For the density of states at the Fermi level, the calculation gives 7.9 states/eV/cell.

The structure belongs to space group P4/mbm (No. 127); the cell edges are 8.5110, 8.5110 and 6.4572 Å and the angles 90.00°, 90.00° and 90.00°. The inequivalent atoms are Ba at (0.1635, 0.3365, 0.0000), Ca at (0.1545, 0.6545, 0.5000) and Te at (0.0000, 0.0000, 0.5000).

=====

4.
Here is a geometry-optimized BaCa4Te structure from Alexandria. Energies are from PBE.

The value obtained for the magnetic moment is 0.0 μB per cell. The value obtained for the final energy is -2.2427 eV per atom. For the density of states at the Fermi level, the calculation gives 18.5 states/eV/cell.

The structure belongs to space group F-43m (No. 216); the cell edges are 10.1145, 10.1145 and 10.1145 Å and the angles 90.00°, 90.00° and 90.00°. The inequivalent atoms are Ba at (0.0000, 0.0000, 0.0000), Ca at (0.1250, 0.1250, 0.6250) and Te at (0.2500, 0.2500, 0.2500).

=====

5.
Here is a geometry-optimized BaCaTe3 structure from Alexandria. Energies are from PBE.

The value obtained for the magnetic moment is 0.0 μB per cell. The calculation puts the energy above the most stable polymorph in this dataset at 0.6532 eV per atom. For the density of states at the Fermi level, the calculation gives 7.3 states/eV/cell.

The structure belongs to space group Pm-3m (No. 221); the cell edges are 6.3155, 6.3155 and 6.3155 Å and the angles 90.00°, 90.00° and 90.00°. The inequivalent atoms are Ba at (0.0000, 0.0000, 0.0000), Ca at (0.5000, 0.5000, 0.5000) and Te at (0.0000, 0.0000, 0.5000).

=====

6.
Here is a geometry-optimized BaCa2Te2 structure from Alexandria. Energies are from PBE.

The value obtained for the magnetic moment is 0.0 μB per cell. The calculation puts the energy above the most stable polymorph in this dataset at 0.0405 eV per atom. For the density of states at the Fermi level, the calculation gives 3.0 states/eV/cell.

The structure belongs to space group I4/mmm (No. 139); the cell edges are 5.8240, 5.8240 and 11.8172 Å and the angles 90.00°, 90.00° and 90.00°. The inequivalent atoms are Ba at (0.0000, 0.0000, 0.0000), Ca at (0.0000, 0.0000, 0.3412) and Te at (0.0000, 0.5000, 0.2500).

=====

Question: magnetic moment of number 5 (BaCaTe3)?
Answer: 0.0 μB per cell